Record 1
Density functional theory data (PBE-GGA) for a relaxed CsSb2IF crystal.

Structure (CIF):
```
data_CsSb2IF
_cell_length_a 6.3770
_cell_length_b 6.3770
_cell_length_c 6.5662
_cell_angle_alpha 90.00
_cell_angle_beta 90.00
_cell_angle_gamma 90.00
_symmetry_space_group_name_H-M 'P 1'
_symmetry_Int_Tables_number 1
loop_
_symmetry_equiv_pos_as_xyz
'x,y,z'
loop_
_atom_site_label
_atom_site_type_symbol
_atom_site_fract_x
_atom_site_fract_y
_atom_site_fract_z
Cs1 Cs 0.0000 0.0000 0.0000
Sb1 Sb 0.0000 0.5000 0.0000
Sb2 Sb 0.5000 0.0000 0.0000
I1 I 0.0000 0.0000 0.5000
F1 F 0.5000 0.5000 0.5000
```

Calculated values
E_form (uncorrected), kcal/mol of atoms: 20.325
Distance to the lowest polymorph of the same formula, eV/atom: 1.374

Record 2
Density functional theory data (PBE-GGA) for a relaxed CsScI2F crystal.

Structure (CIF):
```
data_CsScI2F
_cell_length_a 6.2863
_cell_length_b 6.2863
_cell_length_c 4.2483
_cell_angle_alpha 90.00
_cell_angle_beta 90.00
_cell_angle_gamma 90.00
_symmetry_space_group_name_H-M 'P 1'
_symmetry_Int_Tables_number 1
loop_
_symmetry_equiv_pos_as_xyz
'x,y,z'
loop_
_atom_site_label
_atom_site_type_symbol
_atom_site_fract_x
_atom_site_fract_y
_atom_site_fract_z
Cs1 Cs 0.0000 0.0000 0.0000
Sc1 Sc 0.5000 0.5000 0.5000
I1 I 0.0000 0.5000 0.5000
I2 I 0.5000 0.0000 0.5000
F1 F 0.5000 0.5000 0.0000
```

Calculated values
E_form (uncorrected), kcal/mol of atoms: -42.549

Record 3
Density functional theory data (PBE-GGA) for a relaxed Cs2ScI6F crystal.

Structure (CIF):
```
data_Cs2ScI6F
_cell_length_a 8.6456
_cell_length_b 8.6456
_cell_length_c 8.6456
_cell_angle_alpha 124.99
_cell_angle_beta 124.99
_cell_angle_gamma 81.56
_symmetry_space_group_name_H-M 'P 1'
_symmetry_Int_Tables_number 1
loop_
_symmetry_equiv_pos_as_xyz
'x,y,z'
loop_
_atom_site_label
_atom_site_type_symbol
_atom_site_fract_x
_atom_site_fract_y
_atom_site_fract_z
Cs1 Cs 0.2500 0.7500 0.5000
Cs2 Cs 0.7500 0.2500 0.5000
Sc1 Sc 0.0000 0.0000 0.0000
I1 I 0.2202 0.2202 0.0000
I2 I 0.2564 0.2564 0.5128
I3 I 0.2564 0.7436 0.0000
I4 I 0.7436 0.2564 0.0000
I5 I 0.7436 0.7436 0.4872
I6 I 0.7798 0.7798 0.0000
F1 F 0.5000 0.5000 0.0000
```

Calculated values
E_form (uncorrected), kcal/mol of atoms: -25.667

Record 4
Density functional theory data (PBE-GGA) for a relaxed Cs2ScIF6 crystal.

Structure (CIF):
```
data_Cs2ScIF6
_cell_length_a 6.7786
_cell_length_b 6.7786
_cell_length_c 6.7786
_cell_angle_alpha 113.18
_cell_angle_beta 113.18
_cell_angle_gamma 102.28
_symmetry_space_group_name_H-M 'P 1'
_symmetry_Int_Tables_number 1
loop_
_symmetry_equiv_pos_as_xyz
'x,y,z'
loop_
_atom_site_label
_atom_site_type_symbol
_atom_site_fract_x
_atom_site_fract_y
_atom_site_fract_z
Cs1 Cs 0.2500 0.7500 0.5000
Cs2 Cs 0.7500 0.2500 0.5000
Sc1 Sc 0.0000 0.0000 0.0000
I1 I 0.5000 0.5000 0.0000
F1 F 0.1891 0.1891 0.3783
F2 F 0.1891 0.8109 0.0000
F3 F 0.2498 0.2498 0.0000
F4 F 0.7502 0.7502 0.0000
F5 F 0.8109 0.1891 0.0000
F6 F 0.8109 0.8109 0.6217
```

Calculated values
E_form (uncorrected), kcal/mol of atoms: -65.303

Record 5
Density functional theory data (PBE-GGA) for a relaxed Cs2SeIF6 crystal.

Structure (CIF):
```
data_Cs2SeIF6
_cell_length_a 6.9788
_cell_length_b 6.9788
_cell_length_c 6.9788
_cell_angle_alpha 116.51
_cell_angle_beta 116.51
_cell_angle_gamma 96.16
_symmetry_space_group_name_H-M 'P 1'
_symmetry_Int_Tables_number 1
loop_
_symmetry_equiv_pos_as_xyz
'x,y,z'
loop_
_atom_site_label
_atom_site_type_symbol
_atom_site_fract_x
_atom_site_fract_y
_atom_site_fract_z
Cs1 Cs 0.2500 0.7500 0.5000
Cs2 Cs 0.7500 0.2500 0.5000
Se1 Se 0.0000 0.0000 0.0000
I1 I 0.5000 0.5000 0.0000
F1 F 0.1868 0.1868 0.3736
F2 F 0.1868 0.8132 0.0000
F3 F 0.2109 0.2109 0.0000
F4 F 0.7891 0.7891 0.0000
F5 F 0.8132 0.1868 0.0000
F6 F 0.8132 0.8132 0.6264
```

Calculated values
E_form (uncorrected), kcal/mol of atoms: -44.182

Record 6
Density functional theory data (PBE-GGA) for a relaxed Cs2SnI2F4 crystal.

Structure (CIF):
```
data_Cs2SnI2F4
_cell_length_a 7.2162
_cell_length_b 7.2162
_cell_length_c 7.2162
_cell_angle_alpha 115.41
_cell_angle_beta 115.41
_cell_angle_gamma 98.16
_symmetry_space_group_name_H-M 'P 1'
_symmetry_Int_Tables_number 1
loop_
_symmetry_equiv_pos_as_xyz
'x,y,z'
loop_
_atom_site_label
_atom_site_type_symbol
_atom_site_fract_x
_atom_site_fract_y
_atom_site_fract_z
Cs1 Cs 0.2500 0.7500 0.5000
Cs2 Cs 0.7500 0.2500 0.5000
Sn1 Sn 0.0000 0.0000 0.0000
I1 I 0.2989 0.2989 0.0000
I2 I 0.7011 0.7011 0.0000
F1 F 0.1863 0.1863 0.3725
F2 F 0.1863 0.8137 0.0000
F3 F 0.8137 0.1863 0.0000
F4 F 0.8137 0.8137 0.6275
```

Calculated values
E_form (uncorrected), kcal/mol of atoms: -48.336

Record 7
Density functional theory data (PBE-GGA) for a relaxed CsSnIF2 crystal.

Structure (CIF):
```
data_CsSnIF2
_cell_length_a 5.4803
_cell_length_b 4.6779
_cell_length_c 6.8294
_cell_angle_alpha 90.00
_cell_angle_beta 95.92
_cell_angle_gamma 90.00
_symmetry_space_group_name_H-M 'P 1'
_symmetry_Int_Tables_number 1
loop_
_symmetry_equiv_pos_as_xyz
'x,y,z'
loop_
_atom_site_label
_atom_site_type_symbol
_atom_site_fract_x
_atom_site_fract_y
_atom_site_fract_z
Cs1 Cs 0.0000 0.0000 0.0000
Sn1 Sn 0.4604 0.5000 0.6777
I1 I 0.5298 0.5000 0.2433
F1 F 0.4929 0.0000 0.7267
F2 F 0.8358 0.5000 0.7550
```

Calculated values
E_form (uncorrected), kcal/mol of atoms: -45.380

Record 8
Density functional theory data (PBE-GGA) for a relaxed Cs2SnI6F crystal.

Structure (CIF):
```
data_Cs2SnI6F
_cell_length_a 8.6987
_cell_length_b 8.6987
_cell_length_c 8.6987
_cell_angle_alpha 125.50
_cell_angle_beta 125.50
_cell_angle_gamma 80.71
_symmetry_space_group_name_H-M 'P 1'
_symmetry_Int_Tables_number 1
loop_
_symmetry_equiv_pos_as_xyz
'x,y,z'
loop_
_atom_site_label
_atom_site_type_symbol
_atom_site_fract_x
_atom_site_fract_y
_atom_site_fract_z
Cs1 Cs 0.2500 0.7500 0.5000
Cs2 Cs 0.7500 0.2500 0.5000
Sn1 Sn 0.0000 0.0000 0.0000
I1 I 0.2259 0.2259 0.0000
I2 I 0.2577 0.2577 0.5154
I3 I 0.2577 0.7423 0.0000
I4 I 0.7423 0.2577 0.0000
I5 I 0.7423 0.7423 0.4846
I6 I 0.7741 0.7741 0.0000
F1 F 0.5000 0.5000 0.0000
```

Calculated values
E_form (uncorrected), kcal/mol of atoms: -20.455

Record 9
Density functional theory data (PBE-GGA) for a relaxed Cs2TaI6F crystal.

Structure (CIF):
```
data_Cs2TaI6F
_cell_length_a 8.2743
_cell_length_b 8.2743
_cell_length_c 8.2743
_cell_angle_alpha 120.07
_cell_angle_beta 120.07
_cell_angle_gamma 89.89
_symmetry_space_group_name_H-M 'P 1'
_symmetry_Int_Tables_number 1
loop_
_symmetry_equiv_pos_as_xyz
'x,y,z'
loop_
_atom_site_label
_atom_site_type_symbol
_atom_site_fract_x
_atom_site_fract_y
_atom_site_fract_z
Cs1 Cs 0.2500 0.7500 0.5000
Cs2 Cs 0.7500 0.2500 0.5000
Ta1 Ta 0.0000 0.0000 0.0000
I1 I 0.2389 0.2389 0.0000
I2 I 0.2394 0.2394 0.4787
I3 I 0.2394 0.7606 0.0000
I4 I 0.7606 0.2394 0.0000
I5 I 0.7611 0.7611 0.0000
I6 I 0.7606 0.7606 0.5213
F1 F 0.5000 0.5000 0.0000
```

Calculated values
E_form (uncorrected), kcal/mol of atoms: -22.616

Record 10
Density functional theory data (PBE-GGA) for a relaxed Cs2TcIF6 crystal.

Structure (CIF):
```
data_Cs2TcIF6
_cell_length_a 7.0998
_cell_length_b 7.0998
_cell_length_c 7.0998
_cell_angle_alpha 117.29
_cell_angle_beta 117.29
_cell_angle_gamma 94.76
_symmetry_space_group_name_H-M 'P 1'
_symmetry_Int_Tables_number 1
loop_
_symmetry_equiv_pos_as_xyz
'x,y,z'
loop_
_atom_site_label
_atom_site_type_symbol
_atom_site_fract_x
_atom_site_fract_y
_atom_site_fract_z
Cs1 Cs 0.2500 0.7500 0.5000
Cs2 Cs 0.7500 0.2500 0.5000
Tc1 Tc 0.0000 0.0000 0.0000
I1 I 0.5000 0.5000 0.0000
F1 F 0.1868 0.1868 0.3736
F2 F 0.1868 0.8132 0.0000
F3 F 0.2041 0.2041 0.0000
F4 F 0.7959 0.7959 0.0000
F5 F 0.8132 0.1868 0.0000
F6 F 0.8132 0.8132 0.6264
```

Calculated values
E_form (uncorrected), kcal/mol of atoms: -49.538

Record 11
Density functional theory data (PBE-GGA) for a relaxed CsTe2IF crystal.

Structure (CIF):
```
data_CsTe2IF
_cell_length_a 6.3319
_cell_length_b 6.3319
_cell_length_c 6.6704
_cell_angle_alpha 90.00
_cell_angle_beta 90.00
_cell_angle_gamma 90.00
_symmetry_space_group_name_H-M 'P 1'
_symmetry_Int_Tables_number 1
loop_
_symmetry_equiv_pos_as_xyz
'x,y,z'
loop_
_atom_site_label
_atom_site_type_symbol
_atom_site_fract_x
_atom_site_fract_y
_atom_site_fract_z
Cs1 Cs 0.0000 0.0000 0.0000
Te1 Te 0.0000 0.5000 0.0000
Te2 Te 0.5000 0.0000 0.0000
I1 I 0.0000 0.0000 0.5000
F1 F 0.5000 0.5000 0.5000
```

Calculated values
E_form (uncorrected), kcal/mol of atoms: 14.836
Distance to the lowest polymorph of the same formula, eV/atom: 1.205

Record 12
Density functional theory data (PBE-GGA) for a relaxed Cs7TeI2F2 crystal.

Structure (CIF):
```
data_Cs7TeI2F2
_cell_length_a 5.8484
_cell_length_b 5.8484
_cell_length_c 18.7902
_cell_angle_alpha 98.91
_cell_angle_beta 98.91
_cell_angle_gamma 89.99
_symmetry_space_group_name_H-M 'P 1'
_symmetry_Int_Tables_number 1
loop_
_symmetry_equiv_pos_as_xyz
'x,y,z'
loop_
_atom_site_label
_atom_site_type_symbol
_atom_site_fract_x
_atom_site_fract_y
_atom_site_fract_z
Cs1 Cs 0.0000 0.0000 0.0000
Cs2 Cs 0.0796 0.5799 0.1612
Cs3 Cs 0.1947 0.1947 0.3888
Cs4 Cs 0.4201 0.9204 0.8388
Cs5 Cs 0.5799 0.0796 0.1612
Cs6 Cs 0.8053 0.8053 0.6112
Cs7 Cs 0.9204 0.4201 0.8388
Te1 Te 0.5000 0.5000 0.0000
I1 I 0.3477 0.3477 0.6931
I2 I 0.6523 0.6523 0.3069
F1 F 0.0802 0.0802 0.1613
F2 F 0.9198 0.9198 0.8387
```

Calculated values
E_form (uncorrected), kcal/mol of atoms: -37.109